TbPmDy6Er2: optimized geometry, PBE.

Values from the calculation:
Magnetic moment ... 0.00 Bohr magnetons per cell
E ... -4.490 eV per atom

The structure in CIF format:
```
data_TbPmDy6Er2
_space_group_name_H-M_alt 'P 1'
_space_group_IT_number 1
_cell_length_a 8.760
_cell_length_b 8.760
_cell_length_c 9.508
_cell_angle_alpha 93.63
_cell_angle_beta 93.63
_cell_angle_gamma 117.60
loop_
_space_group_symop_operation_xyz
'x,y,z'
loop_
_atom_site_label
_atom_site_fract_x
_atom_site_fract_y
_atom_site_fract_z
Tb1 0.091 0.909 0.750
Tb2 0.909 0.091 0.250
Pm1 0.474 0.526 0.250
Pm2 0.526 0.474 0.750
Dy1 0.009 0.792 0.381
Dy2 0.066 0.518 0.183
Dy3 0.208 0.991 0.119
Dy4 0.252 0.621 0.556
Dy5 0.379 0.748 0.944
Dy6 0.482 0.934 0.317
Dy7 0.518 0.066 0.683
Dy8 0.621 0.252 0.056
Dy9 0.748 0.379 0.444
Dy10 0.792 0.009 0.881
Dy11 0.934 0.482 0.817
Dy12 0.991 0.208 0.619
Er1 0.197 0.302 0.954
Er2 0.302 0.197 0.454
Er3 0.698 0.803 0.546
Er4 0.803 0.698 0.046
```

=====

LaTa2Cl: optimized geometry, PBE.

Values from the calculation:
Magnetic moment ... 0.00 Bohr magnetons per cell
E ... -7.527 eV per atom
Excess energy over the best structure of this formula in the dataset ... 291 meV per atom
Raw formation energy ... 0.093 eV per atom

The structure in CIF format:
```
data_LaTa2Cl
_space_group_name_H-M_alt 'P 1'
_space_group_IT_number 1
_cell_length_a 9.152
_cell_length_b 3.207
_cell_length_c 7.208
_cell_angle_alpha 90.00
_cell_angle_beta 112.01
_cell_angle_gamma 90.00
loop_
_space_group_symop_operation_xyz
'x,y,z'
loop_
_atom_site_label
_atom_site_fract_x
_atom_site_fract_y
_atom_site_fract_z
La1 0.000 0.000 0.000
La2 0.500 0.500 0.000
Ta1 0.085 0.500 0.432
Ta2 0.318 0.500 0.322
Ta3 0.585 0.000 0.432
Ta4 0.818 0.000 0.322
Cl1 0.195 0.000 0.743
Cl2 0.695 0.500 0.743
```

=====

AcPmP2Pt2: optimized geometry, PBE.

Values from the calculation:
Magnetic moment ... 0.00 Bohr magnetons per cell
E ... -6.627 eV per atom

The structure in CIF format:
```
data_AcPmP2Pt2
_space_group_name_H-M_alt 'P 1'
_space_group_IT_number 1
_cell_length_a 4.230
_cell_length_b 4.230
_cell_length_c 8.338
_cell_angle_alpha 90.00
_cell_angle_beta 90.00
_cell_angle_gamma 120.00
loop_
_space_group_symop_operation_xyz
'x,y,z'
loop_
_atom_site_label
_atom_site_fract_x
_atom_site_fract_y
_atom_site_fract_z
Ac1 0.000 0.000 0.000
Pm1 0.000 0.000 0.500
P1 0.333 0.667 0.266
P2 0.667 0.333 0.734
Pt1 0.333 0.667 0.739
Pt2 0.667 0.333 0.261
```